Density functional theory data (GGA-PBE) for Y2AlRh after structural relaxation.

Calculated values
Symmetry   Pm (6)
E   -6.64 eV/atom
Spin magnetization   0.00 μB/f.u.
DOS at the Fermi energy   3.117 states/eV per cell
Formation enthalpy at 0 K   -0.6340 eV per atom
Calculated volume   93.2 Å³ per cell

Structure (extended XYZ):
```
4
Lattice="4.280 0.000 0.000 0.000 4.009 -0.010 0.000 2.004 5.429" Properties=species:S:1:pos:R:3 pbc="T T T"
Y 2.140 1.752 1.832
Al 0.000 3.757 2.667
Rh 2.140 3.761 4.130
Y 0.000 5.762 4.918
```